PrSmTm2Hg4: optimized geometry, PBE.

Geometry as POSCAR:
```
PrSmTm2Hg4
1.0
5.312 0.000 0.000
2.656 4.601 0.000
2.656 1.534 8.691
Pr Sm Tm Hg
1 1 2 4
direct
0.000 0.000 0.000
0.500 0.500 0.500
0.750 0.750 0.749
0.250 0.250 0.251
0.376 0.376 0.871
0.874 0.874 0.379
0.126 0.126 0.621
0.624 0.624 0.129
```

Values from the calculation:
Its formation energy is -0.46 eV per atom. The value obtained for the size of the total moment is 0.75 μB/cell. As for the crystal system: trigonal. For the energy, the calculation gives -2.92 eV per atom.

PrSmTmHg: optimized geometry, PBE.

Geometry as POSCAR:
```
PrSmTmHg
1.0
-5.486 0.383 -0.225
-2.612 -0.682 -4.797
-3.040 -4.507 -0.862
Pr Tm Hg Sm
1 1 1 1
direct
0.000 0.000 0.000
0.750 0.750 0.750
0.250 0.250 0.250
0.500 0.500 0.500
```

Values from the calculation:
Its formation energy is -0.08 eV per atom. The value obtained for the size of the total moment is 0.00 μB/cell. As for the crystal system: cubic. For the energy, the calculation gives -3.65 eV per atom. The calculation puts the energy above the most stable polymorph in this dataset at 3.51 kcal/mol of atoms.

> The highest size of the total moment belongs to which entry?

PrSmTm2Hg4

> Among the records above, which one has the highest energy?

PrSmTm2Hg4

> Which of these has the highest size of the total moment?

PrSmTm2Hg4

> energy of number 2 (PrSmTmHg)?

-3.65 eV per atom